Here is crystalline MgHgMo2 at its relaxed geometry from the Alexandria database. Energies are from GGA-PBE.

a = 5.3395 Å, b = 5.3395 Å, c = 2.7824 Å
α = 90.00°, β = 90.00°, γ = 118.72°
Last column: nearest neighbours and their distance in Å.
Positions (direct):
Hg 0.5000 0.0000 0.5000  2 Mg 2.72, 2 Hg 2.78, 8 Mo 3.01
Mg 0.0000 0.5000 0.5000  2 Hg 2.72, 2 Mg 2.78, 8 Mo 3.01
Mo 0.0000 0.0000 0.0000  4 Mo 2.72-2.78, 4 Mg 3.01, 4 Hg 3.01
Mo 0.5000 0.5000 0.0000  4 Mo 2.72-2.78, 4 Hg 3.01, 4 Mg 3.01

Summary:
* polymorph energy (0 for the lowest one): 216.8 meV per atom
* E_form: 423 meV/atom
* magnetic moment: 0.00 μB per formula unit
* N(E_F): 0.331 states/eV per atom
* space group: No. 65